# 1
The following is a PBE-GGA calculation of a relaxed Na5HgCl8 crystal, from the Alexandria database.

Results
As for the total energy: -2.863 eV per atom.

Geometry as POSCAR:
```
Na5HgCl8
1.0
0.000 5.786 5.786
5.786 0.000 5.786
5.786 5.786 0.000
Na Hg Cl
5 1 8
direct
0.000 0.000 0.000 Na
0.117 0.628 0.628 Na
0.628 0.117 0.628 Na
0.628 0.628 0.117 Na
0.628 0.628 0.628 Na
0.250 0.250 0.250 Hg
0.378 0.378 0.378 Cl
0.378 0.378 0.866 Cl
0.378 0.866 0.378 Cl
0.400 0.867 0.867 Cl
0.866 0.378 0.378 Cl
0.867 0.400 0.867 Cl
0.867 0.867 0.400 Cl
0.867 0.867 0.867 Cl
```

---

# 2
The following is a PBE-GGA calculation of a relaxed NaHgCl2 crystal, from the Alexandria database.

Results
The polymorph energy (0 for the lowest one) comes out at 25 meV per atom.

Geometry as POSCAR:
```
NaHgCl2
1.0
2.034 1.174 8.361
-2.034 1.174 8.361
0.000 -2.348 8.361
Na Hg Cl
1 1 2
direct
0.000 0.000 0.000 Na
0.500 0.500 0.500 Hg
0.395 0.395 0.395 Cl
0.605 0.605 0.605 Cl
```